A relaxed Na3NpNi2S6 crystal, computed with PBE.

## Properties
uncorrected formation energy: -0.833 eV/atom
V: 226 Å³ per cell
VASP energy: -5.27 eV/atom

Cell: 6.1642 6.1642 7.0674 Å, 99.09 99.09 118.06°
With the nearest neighbours (Å) after each atom.
Sites, in units of the cell vectors:
Na 0.0000 0.0000 0.0000  6 S 2.82-2.92
Na 0.3398 0.6602 0.0000  6 S 2.78-2.91
Na 0.6602 0.3398 0.0000  6 S 2.78-2.91
Np 0.5000 0.5000 0.5000  6 S 2.59-2.66
Ni 0.1695 0.8305 0.5000  6 S 2.37-2.57
Ni 0.8305 0.1695 0.5000  6 S 2.37-2.57
S 0.0843 0.4448 0.2888  2 Ni 2.37-2.57, 1 Np 2.59
S 0.2043 0.2043 0.6978  2 Ni 2.39, 1 Np 2.66
S 0.4448 0.0843 0.2888  2 Ni 2.37-2.57, 1 Np 2.59
S 0.5552 0.9157 0.7112  2 Ni 2.37-2.57, 1 Np 2.59
S 0.7957 0.7957 0.3022  2 Ni 2.39, 1 Np 2.66
S 0.9157 0.5552 0.7112  2 Ni 2.37-2.57, 1 Np 2.59

A relaxed Tb3Nd2Tm6 crystal, computed with PBE.

## Properties
V: 366 Å³ per cell
VASP energy: -4.30 eV/atom
ΔE_f: 0.2693 eV per atom
energy above the lowest structure with this stoichiometry: 0.91 eV per formula unit

Cell: 16.8310 16.8310 16.8310 Å, 163.91 163.91 22.83°
With the nearest neighbours (Å) after each atom.
Sites, in units of the cell vectors:
Tb 0.0000 0.0000 0.0000  8 Nd 3.67
Tb 0.2026 0.2026 0.0000  9 Tm 3.34-3.54
Tb 0.7974 0.7974 0.0000  9 Tm 3.34-3.54
Nd 0.4536 0.4536 0.0000  1 Nd 3.06
Nd 0.5464 0.5464 0.0000  1 Nd 3.06
Tm 0.1223 0.6223 0.5000  6 Tm 3.33-3.34, 2 Nd 3.44, 2 Tb 3.54
Tm 0.3058 0.3058 0.0000  4 Tm 3.34, 5 Tb 3.34-3.41
Tm 0.3777 0.8777 0.5000  6 Tm 3.33-3.34, 2 Nd 3.44, 2 Tb 3.54
Tm 0.6223 0.1223 0.5000  6 Tm 3.33-3.34, 2 Nd 3.44, 2 Tb 3.54
Tm 0.6942 0.6942 0.0000  4 Tm 3.34, 5 Tb 3.34-3.41
Tm 0.8777 0.3777 0.5000  6 Tm 3.33-3.34, 2 Nd 3.44, 2 Tb 3.54

A relaxed Pu4S3Cl2 crystal, computed with PBE.

## Properties
uncorrected formation energy: -1.643 eV/atom
V: 221 Å³ per cell
VASP energy: -9.80 eV/atom

Cell: 6.8121 6.8121 9.8900 Å, 118.02 118.02 33.54°
With the nearest neighbours (Å) after each atom.
Sites, in units of the cell vectors:
Pu 0.1043 0.1043 0.4098  5 S 2.77-2.79, 1 Cl 2.93
Pu 0.2975 0.2975 0.2092  3 S 2.75-2.79, 3 Cl 2.86
Pu 0.7025 0.7025 0.7908  3 S 2.75-2.79, 3 Cl 2.86
Pu 0.8957 0.8957 0.5902  5 S 2.77-2.79, 1 Cl 2.93
S 0.3047 0.3047 0.7016  5 Pu 2.75-2.79
S 0.5000 0.5000 0.5000  6 Pu 2.77-2.79
S 0.6953 0.6953 0.2984  5 Pu 2.75-2.79
Cl 0.1023 0.1023 0.9009  4 Pu 2.86-2.93
Cl 0.8977 0.8977 0.0991  4 Pu 2.86-2.93

A relaxed RbAg3S crystal, computed with PBE.

## Properties
uncorrected formation energy: 0.166 eV/atom
V: 139 Å³ per cell
VASP energy: -2.56 eV/atom
energy above the lowest structure with this stoichiometry: 0.00 eV per formula unit

Cell: 5.1818 5.1818 5.1818 Å, 90.00 90.00 90.00°
With the nearest neighbours (Å) after each atom.
Sites, in units of the cell vectors:
Rb 0.0000 0.0000 0.0000  12 Ag 3.66
Ag 0.0000 0.5000 0.5000  2 S 2.59
Ag 0.5000 0.0000 0.5000  2 S 2.59
Ag 0.5000 0.5000 0.0000  2 S 2.59
S 0.5000 0.5000 0.5000  6 Ag 2.59

A relaxed La4Pr2NdCd crystal, computed with PBE.

## Properties
V: 276 Å³ per cell
VASP energy: -4.38 eV/atom
ΔE_f: -0.0085 eV per atom

Cell: 5.9920 5.9920 7.6764 Å, 90.00 90.00 90.00°
With the nearest neighbours (Å) after each atom.
Sites, in units of the cell vectors:
La 0.0000 0.5000 0.2267  2 Cd 3.46, 4 Pr 3.46-3.66, 1 La 3.48, 2 Nd 3.66
La 0.0000 0.5000 0.7733  2 Cd 3.46, 4 Pr 3.46-3.66, 1 La 3.48, 2 Nd 3.66
La 0.5000 0.0000 0.2267  2 Cd 3.46, 4 Pr 3.46-3.66, 1 La 3.48, 2 Nd 3.66
La 0.5000 0.0000 0.7733  2 Cd 3.46, 4 Pr 3.46-3.66, 1 La 3.48, 2 Nd 3.66
Pr 0.0000 0.0000 0.0000  8 La 3.46, 2 Nd 3.84
Pr 0.5000 0.5000 0.5000  8 La 3.66, 2 Cd 3.84
Nd 0.0000 0.0000 0.5000  8 La 3.66, 2 Pr 3.84
Cd 0.5000 0.5000 0.0000  8 La 3.46, 2 Pr 3.84

A relaxed Ba2SrTiO crystal, computed with PBE.

## Properties
uncorrected formation energy: -0.583 eV/atom
V: 164 Å³ per cell
VASP energy: -4.26 eV/atom

Cell: 5.6609 5.6609 5.1153 Å, 90.00 90.00 90.00°
With the nearest neighbours (Å) after each atom.
Sites, in units of the cell vectors:
Ba 0.0000 0.5000 0.0000  2 O 2.83
Ba 0.5000 0.0000 0.0000  2 O 2.83
Sr 0.0000 0.0000 0.5000  2 O 2.56
Ti 0.5000 0.5000 0.5000  8 Ba 3.81, 4 Sr 4.00
O 0.0000 0.0000 0.0000  2 Sr 2.56, 4 Ba 2.83

A relaxed MgCu2Cl crystal, computed with PBE.

## Properties
uncorrected formation energy: 0.014 eV/atom
V: 67 Å³ per cell
VASP energy: -2.89 eV/atom
energy above the lowest structure with this stoichiometry: 1.11 eV per formula unit

Cell: 3.5194 3.5433 5.4080 Å, 90.00 90.00 90.00°
With the nearest neighbours (Å) after each atom.
Sites, in units of the cell vectors:
Mg 0.0000 0.0000 0.0000  2 Cl 2.70, 8 Cu 2.76
Cu 0.5000 0.5000 0.2196  1 Cu 2.37
Cu 0.5000 0.5000 0.7804  1 Cu 2.37
Cl 0.0000 0.0000 0.5000  2 Mg 2.70, 8 Cu 2.92

A relaxed ZnGa2O4 crystal, computed with PBE.

## Properties
uncorrected formation energy: -1.661 eV/atom
V: 92 Å³ per cell
VASP energy: -5.54 eV/atom

Cell: 4.4132 4.4132 4.7022 Å, 90.00 90.00 90.00°
With the nearest neighbours (Å) after each atom.
Sites, in units of the cell vectors:
Zn 0.0000 0.0000 0.0000  4 O 2.00
Ga 0.0000 0.5000 0.5000  4 O 1.88
Ga 0.5000 0.0000 0.5000  4 O 1.88
O 0.2433 0.2433 0.2773  2 Ga 1.88, 1 Zn 2.00
O 0.2433 0.7567 0.7227  2 Ga 1.88, 1 Zn 2.00
O 0.7567 0.2433 0.7227  2 Ga 1.88, 1 Zn 2.00
O 0.7567 0.7567 0.2773  2 Ga 1.88, 1 Zn 2.00

no.,magnetization (Bohr magnetons per cell)
1,0.189
2,0.001
3,0.180
4,0.000
5,0.000
6,3.602
7,0.000
8,0.000